First-principles (meta-GGA SCAN) data for a PBEsol-optimized structure of ScSbCl2, as listed in Alexandria.

Cell lengths 3.4897, 3.4897, 7.0304 Å; angles 90.00, 90.00, 90.00 degrees
Closest atoms and distances in Å follow each position.
Fractional positions:
Sc: 0.5000 0.5000 0.8382  5 Cl 2.54-2.60
Cl: 0.0000 0.0000 0.9524  4 Sc 2.60
Cl: 0.5000 0.5000 0.1993  1 Sc 2.54
Sb: 0.0000 0.0000 0.5101  5 Cl 3.11-3.30, 4 Sc 3.38

Summary:
Uncorrected formation energy, eV/f.u.: -4.3
Space-group type: P4mm, No. 99
Mass density, g cm⁻³: 4.6